# AlCl3 | Alexandria | PBE-GGA | relaxed
# Final energy in eV per cell: -19.05
# Calculated volume in Å³/cell: 160.5
# E_form (uncorrected) in eV per atom: -0.06
data_AlCl3
_chemical_formula_sum 'Al2 Cl6'
_cell_length_a 5.4345
_cell_length_b 5.4345
_cell_length_c 5.4345
_cell_angle_alpha 90.00
_cell_angle_beta 90.00
_cell_angle_gamma 90.00
_symmetry_space_group_name_H-M 'P 1'
_symmetry_Int_Tables_number 1
_symmetry_space_group_name_Hall 'P 1'
loop_
_atom_site_label
_atom_site_type_symbol
_atom_site_fract_x
_atom_site_fract_y
_atom_site_fract_z
Al1 Al 0.0000 0.0000 0.0000
Al2 Al 0.5000 0.5000 0.5000
Cl1 Cl 0.7500 0.5000 0.0000
Cl2 Cl 0.2500 0.5000 0.0000
Cl3 Cl 0.0000 0.7500 0.5000
Cl4 Cl 0.0000 0.2500 0.5000
Cl5 Cl 0.5000 0.0000 0.2500
Cl6 Cl 0.5000 0.0000 0.7500

# Al3Cl | Alexandria | PBE-GGA | relaxed
# Final energy in eV per cell: -12.75
# Calculated volume in Å³/cell: 78.5
# E_form (uncorrected) in eV per atom: 0.08
data_Al3Cl
_chemical_formula_sum 'Al3 Cl1'
_cell_length_a 3.0106
_cell_length_b 4.9221
_cell_length_c 5.3002
_cell_angle_alpha 90.00
_cell_angle_beta 90.00
_cell_angle_gamma 90.00
_symmetry_space_group_name_H-M 'P 1'
_symmetry_Int_Tables_number 1
_symmetry_space_group_name_Hall 'P 1'
loop_
_atom_site_label
_atom_site_type_symbol
_atom_site_fract_x
_atom_site_fract_y
_atom_site_fract_z
Al1 Al 0.5000 0.5000 0.7457
Al2 Al 0.0000 0.0000 0.5000
Al3 Al 0.5000 0.5000 0.2543
Cl1 Cl 0.0000 0.0000 0.0000

# AlCl3 | Alexandria | PBE-GGA | relaxed
# Final energy in eV per cell: -29.10
# Calculated volume in Å³/cell: 252.5
# E_form (uncorrected) in eV per atom: -1.32
data_AlCl3
_chemical_formula_sum 'Al2 Cl6'
_cell_length_a 9.0416
_cell_length_b 9.0416
_cell_length_c 3.1449
_cell_angle_alpha 90.00
_cell_angle_beta 90.00
_cell_angle_gamma 100.82
_symmetry_space_group_name_H-M 'P 1'
_symmetry_Int_Tables_number 1
_symmetry_space_group_name_Hall 'P 1'
loop_
_atom_site_label
_atom_site_type_symbol
_atom_site_fract_x
_atom_site_fract_y
_atom_site_fract_z
Al1 Al 0.7087 0.2913 0.7500
Al2 Al 0.2913 0.7087 0.2500
Cl1 Cl 0.1638 0.8362 0.7500
Cl2 Cl 0.8362 0.1638 0.2500
Cl3 Cl 0.4892 0.7780 0.7500
Cl4 Cl 0.5108 0.2220 0.2500
Cl5 Cl 0.7780 0.4892 0.2500
Cl6 Cl 0.2220 0.5108 0.7500

# AlCl2 | Alexandria | PBE-GGA | relaxed
# Final energy in eV per cell: -35.59
# Calculated volume in Å³/cell: 434.5
# E_form (uncorrected) in eV per atom: -0.49
data_AlCl2
_chemical_formula_sum 'Al4 Cl8'
_cell_length_a 6.5250
_cell_length_b 6.5250
_cell_length_c 11.7848
_cell_angle_alpha 90.00
_cell_angle_beta 90.00
_cell_angle_gamma 120.00
_symmetry_space_group_name_H-M 'P 1'
_symmetry_Int_Tables_number 1
_symmetry_space_group_name_Hall 'P 1'
loop_
_atom_site_label
_atom_site_type_symbol
_atom_site_fract_x
_atom_site_fract_y
_atom_site_fract_z
Al1 Al 0.3333 0.6667 0.8700
Al2 Al 0.6667 0.3333 0.3700
Al3 Al 0.6667 0.3333 0.1300
Al4 Al 0.3333 0.6667 0.6300
Cl1 Cl 0.0000 0.0000 0.0000
Cl2 Cl 0.0000 0.0000 0.5000
Cl3 Cl 0.8287 0.6574 0.2500
Cl4 Cl 0.1713 0.3426 0.7500
Cl5 Cl 0.3426 0.1713 0.2500
Cl6 Cl 0.8287 0.1713 0.2500
Cl7 Cl 0.1713 0.8287 0.7500
Cl8 Cl 0.6574 0.8287 0.7500

# Al5Cl4 | Alexandria | PBE-GGA | relaxed
# Final energy in eV per cell: -28.24
# Calculated volume in Å³/cell: 181.7
# E_form (uncorrected) in eV per atom: -0.24
data_Al5Cl4
_chemical_formula_sum 'Al5 Cl4'
_cell_length_a 7.8163
_cell_length_b 7.8163
_cell_length_c 7.8163
_cell_angle_alpha 92.25
_cell_angle_beta 92.25
_cell_angle_gamma 157.16
_symmetry_space_group_name_H-M 'P 1'
_symmetry_Int_Tables_number 1
_symmetry_space_group_name_Hall 'P 1'
loop_
_atom_site_label
_atom_site_type_symbol
_atom_site_fract_x
_atom_site_fract_y
_atom_site_fract_z
Al1 Al 0.0000 0.0000 0.0000
Al2 Al 0.3336 0.6664 0.0000
Al3 Al 0.6664 0.3336 0.0000
Al4 Al 0.6664 0.6664 0.3329
Al5 Al 0.3336 0.3336 0.6671
Cl1 Cl 0.2996 0.0000 0.2996
Cl2 Cl 0.7004 0.0000 0.7004
Cl3 Cl 0.0000 0.7004 0.7004
Cl4 Cl 0.0000 0.2996 0.2996

# Al3Cl | Alexandria | PBE-GGA | relaxed
# Final energy in eV per cell: -13.24
# Calculated volume in Å³/cell: 72.3
# E_form (uncorrected) in eV per atom: -0.04
data_Al3Cl
_chemical_formula_sum 'Al3 Cl1'
_cell_length_a 8.9488
_cell_length_b 8.9488
_cell_length_c 8.9488
_cell_angle_alpha 19.85
_cell_angle_beta 19.85
_cell_angle_gamma 19.85
_symmetry_space_group_name_H-M 'P 1'
_symmetry_Int_Tables_number 1
_symmetry_space_group_name_Hall 'P 1'
loop_
_atom_site_label
_atom_site_type_symbol
_atom_site_fract_x
_atom_site_fract_y
_atom_site_fract_z
Al1 Al 0.7480 0.7480 0.7480
Al2 Al 0.5000 0.5000 0.5000
Al3 Al 0.2520 0.2520 0.2520
Cl1 Cl 0.0000 0.0000 0.0000

# Al3Cl | Alexandria | PBE-GGA | relaxed
# Final energy in eV per cell: -12.77
# Calculated volume in Å³/cell: 76.1
# E_form (uncorrected) in eV per atom: 0.08
data_Al3Cl
_chemical_formula_sum 'Al3 Cl1'
_cell_length_a 5.4847
_cell_length_b 5.4847
_cell_length_c 5.4847
_cell_angle_alpha 116.70
_cell_angle_beta 116.70
_cell_angle_gamma 116.70
_symmetry_space_group_name_H-M 'P 1'
_symmetry_Int_Tables_number 1
_symmetry_space_group_name_Hall 'P 1'
loop_
_atom_site_label
_atom_site_type_symbol
_atom_site_fract_x
_atom_site_fract_y
_atom_site_fract_z
Al1 Al 0.0000 0.0000 0.0000
Al2 Al 0.5000 0.5000 0.0000
Al3 Al 0.0000 0.5000 0.5000
Cl1 Cl 0.5000 0.0000 0.5000

# AlCl3 | Alexandria | PBE-GGA | relaxed
# Final energy in eV per cell: -13.16
# Calculated volume in Å³/cell: 100.8
# E_form (uncorrected) in eV per atom: -0.97
data_AlCl3
_chemical_formula_sum 'Al1 Cl3'
_cell_length_a 6.6935
_cell_length_b 6.6935
_cell_length_c 6.6935
_cell_angle_alpha 152.34
_cell_angle_beta 133.25
_cell_angle_gamma 55.19
_symmetry_space_group_name_H-M 'P 1'
_symmetry_Int_Tables_number 1
_symmetry_space_group_name_Hall 'P 1'
loop_
_atom_site_label
_atom_site_type_symbol
_atom_site_fract_x
_atom_site_fract_y
_atom_site_fract_z
Al1 Al 0.5000 0.0000 0.5000
Cl1 Cl 0.3609 0.3609 0.0000
Cl2 Cl 0.6391 0.6391 0.0000
Cl3 Cl 0.0000 0.5000 0.5000